Record 1
The following is a PBE calculation of crystalline NiTeP at its relaxed geometry, from Alexandria.

Unit cell a=6.214 b=5.987 c=3.292 alpha=78.20 beta=70.57 gamma=31.24
Element x y z (fractional)
P 0.606 0.606 0.394
Ni 0.026 0.026 0.974
Te 0.368 0.368 0.632

Properties
- E_form (uncorrected) (eV per atom) = 0.1739
- SG = No. 42
- E above lowest polymorph (meV per atom) = 360
- total energy (eV/atom) = -4.60

---

Record 2
The following is a PBE calculation of crystalline NiTe2P at its relaxed geometry, from Alexandria.

Unit cell a=3.142 b=3.142 c=9.329 alpha=90.00 beta=90.00 gamma=98.86
Element x y z (fractional)
P 0.500 0.500 0.362
Te 0.000 0.000 0.018
Te 0.500 0.500 0.661
Ni 0.000 0.000 0.459

Properties
- E_form (uncorrected) (eV per atom) = 0.1761
- SG = No. 35
- total energy (eV/atom) = -4.19

---

Record 3
The following is a PBE calculation of crystalline Ni2TeP at its relaxed geometry, from Alexandria.

Unit cell a=2.958 b=3.411 c=6.650 alpha=90.00 beta=90.00 gamma=90.00
Element x y z (fractional)
Te 0.500 0.500 0.838
P 0.000 0.000 0.374
Ni 0.500 0.500 0.250
Ni 0.000 0.000 0.038

Properties
- E_form (uncorrected) (eV per atom) = -0.0576
- SG = No. 25
- total energy (eV/atom) = -5.09

---

Record 4
The following is a PBE calculation of crystalline NiTe2P at its relaxed geometry, from Alexandria.

Unit cell a=6.777 b=6.777 c=6.777 alpha=33.05 beta=33.05 gamma=33.05
Element x y z (fractional)
Te 0.241 0.241 0.241
Te 0.759 0.759 0.759
P 0.000 0.000 0.000
Ni 0.500 0.500 0.500

Properties
- E_form (uncorrected) (eV per atom) = 0.1035
- SG = No. 166
- total energy (eV/atom) = -4.27

---

Record 5
The following is a PBE calculation of crystalline NiTe2P at its relaxed geometry, from Alexandria.

Unit cell a=3.554 b=3.554 c=8.720 alpha=89.29 beta=89.29 gamma=60.05
Element x y z (fractional)
P 0.874 0.874 0.655
Te 0.869 0.869 0.939
Te 0.214 0.214 0.361
Ni 0.543 0.543 0.545

Properties
- E_form (uncorrected) (eV per atom) = -0.0663
- SG = No. 8
- total energy (eV/atom) = -4.43

---

Record 6
The following is a PBE calculation of crystalline NiTe2P at its relaxed geometry, from Alexandria.

Unit cell a=3.644 b=3.735 c=8.066 alpha=90.00 beta=90.00 gamma=90.00
Element x y z (fractional)
Te 0.000 0.000 0.000
Te 0.000 0.500 0.500
P 0.500 0.000 0.500
Ni 0.500 0.500 0.000

Properties
- E_form (uncorrected) (eV per atom) = 0.5162
- SG = No. 47
- total energy (eV/atom) = -3.85

---

Record 7
The following is a PBE calculation of crystalline NiTe2P at its relaxed geometry, from Alexandria.

Unit cell a=4.862 b=4.862 c=4.862 alpha=60.00 beta=60.00 gamma=60.00
Element x y z (fractional)
Te 0.250 0.250 0.250
Te 0.000 0.000 0.000
Ni 0.500 0.500 0.500
P 0.750 0.750 0.750

Properties
- E_form (uncorrected) (eV per atom) = 0.7346
- SG = No. 216
- total energy (eV/atom) = -3.63

---

Record 8
The following is a PBE calculation of crystalline NiTeP2 at its relaxed geometry, from Alexandria.

Unit cell a=3.666 b=3.666 c=7.868 alpha=106.96 beta=106.96 gamma=52.45
Element x y z (fractional)
P 0.610 0.610 0.381
P 0.890 0.890 0.119
Ni 0.250 0.250 0.250
Te 0.750 0.750 0.750

Properties
- E_form (uncorrected) (eV per atom) = -0.0365
- SG = No. 12
- total energy (eV/atom) = -4.97